{
  "formula": "CaNi2Sb",
  "functional": "PBE",
  "state": "optimized geometry",
  "volume_a3_per_atom": 19.871,
  "spacegroup": "R-3m",
  "m_tot_mub_per_atom": 0.000,
  "total_energy_ha_per_atom": -0.1779,
  "formation_energy_uncorrected_ev_per_atom": -0.4196,
  "cell": [[4.325, 0.000, 0.000], [-2.163, 3.746, 0.000], [0.000, 0.000, 14.717]],
  "species": ["Ca", "Ca", "Ca", "Ni", "Ni", "Ni", "Ni", "Ni", "Ni", "Sb", "Sb", "Sb"],
  "fractional_positions": [[0.000, 0.000, 0.000], [0.333, 0.667, 0.667], [0.667, 0.333, 0.333], [0.000, 0.000, 0.193], [0.000, 0.000, 0.807], [0.333, 0.667, 0.474], [0.333, 0.667, 0.859], [0.667, 0.333, 0.141], [0.667, 0.333, 0.526], [0.000, 0.000, 0.500], [0.333, 0.667, 0.167], [0.667, 0.333, 0.833]]
}

***

{
  "formula": "CaNi2Sb",
  "functional": "PBE",
  "state": "optimized geometry",
  "volume_a3_per_atom": 20.126,
  "spacegroup": "R3m",
  "m_tot_mub_per_atom": 0.000,
  "total_energy_ha_per_atom": -0.1769,
  "formation_energy_uncorrected_ev_per_atom": -0.3918,
  "cell": [[4.188, 0.000, 0.000], [-2.094, 3.627, 0.000], [0.000, 0.000, 15.901]],
  "species": ["Ca", "Ca", "Ca", "Ni", "Ni", "Ni", "Ni", "Ni", "Ni", "Sb", "Sb", "Sb"],
  "fractional_positions": [[0.000, 0.000, 0.000], [0.333, 0.667, 0.667], [0.667, 0.333, 0.333], [0.000, 0.000, 0.465], [0.000, 0.000, 0.797], [0.333, 0.667, 0.132], [0.333, 0.667, 0.464], [0.667, 0.333, 0.130], [0.667, 0.333, 0.798], [0.000, 0.000, 0.195], [0.333, 0.667, 0.861], [0.667, 0.333, 0.528]]
}

***

{
  "formula": "Ca2Ni2Sb",
  "functional": "PBE",
  "state": "optimized geometry",
  "volume_a3_per_atom": 22.762,
  "spacegroup": "I4/mmm",
  "m_tot_mub_per_atom": 0.112,
  "total_energy_ha_per_atom": -0.1531,
  "e_above_lowest_polymorph_ev_per_atom": 0.1273,
  "formation_energy_uncorrected_ev_per_atom": -0.2294,
  "cell": [[5.585, 0.000, 0.000], [0.000, 5.585, 0.000], [0.000, 0.000, 7.296]],
  "species": ["Ca", "Ca", "Ca", "Ca", "Ni", "Ni", "Ni", "Ni", "Sb", "Sb"],
  "fractional_positions": [[0.000, 0.500, 0.250], [0.000, 0.500, 0.750], [0.500, 0.000, 0.250], [0.500, 0.000, 0.750], [0.000, 0.000, 0.156], [0.000, 0.000, 0.844], [0.500, 0.500, 0.344], [0.500, 0.500, 0.656], [0.000, 0.000, 0.500], [0.500, 0.500, 0.000]]
}

***

{
  "formula": "Ca2Ni4SnSb3",
  "functional": "PBE",
  "state": "optimized geometry",
  "volume_a3_per_atom": 20.088,
  "spacegroup": "P-4m2",
  "m_tot_mub_per_atom": 0.000,
  "total_energy_ha_per_atom": -0.1783,
  "formation_energy_uncorrected_ev_per_atom": -0.5008,
  "cell": [[4.419, 0.000, 0.000], [0.000, 4.419, 0.000], [0.000, 0.000, 10.289]],
  "species": ["Ca", "Ca", "Ni", "Ni", "Ni", "Ni", "Sn", "Sb", "Sb", "Sb"],
  "fractional_positions": [[0.000, 0.500, 0.237], [0.500, 0.000, 0.763], [0.000, 0.000, 0.000], [0.000, 0.500, 0.630], [0.500, 0.000, 0.370], [0.500, 0.500, 0.000], [0.000, 0.000, 0.500], [0.000, 0.500, 0.873], [0.500, 0.000, 0.127], [0.500, 0.500, 0.500]]
}

***

{
  "formula": "CaNiSnSb2",
  "functional": "PBE",
  "state": "optimized geometry",
  "volume_a3_per_atom": 36.008,
  "spacegroup": "P4/mmm",
  "m_tot_mub_per_atom": 0.001,
  "total_energy_ha_per_atom": -0.1132,
  "formation_energy_uncorrected_ev_per_atom": 0.9244,
  "cell": [[5.600, 0.000, 0.000], [0.000, 5.600, 0.000], [0.000, 0.000, 5.741]],
  "species": ["Ca", "Ni", "Sn", "Sb", "Sb"],
  "fractional_positions": [[0.000, 0.000, 0.000], [0.500, 0.500, 0.000], [0.000, 0.000, 0.500], [0.000, 0.500, 0.500], [0.500, 0.000, 0.500]]
}

***

{
  "formula": "CaTaNiSb2",
  "functional": "PBE",
  "state": "optimized geometry",
  "volume_a3_per_atom": 24.412,
  "spacegroup": "P4/mmm",
  "m_tot_mub_per_atom": 0.247,
  "total_energy_ha_per_atom": -0.1921,
  "formation_energy_uncorrected_ev_per_atom": 0.3488,
  "cell": [[5.055, 0.000, 0.000], [0.000, 5.055, 0.000], [0.000, 0.000, 4.777]],
  "species": ["Ca", "Ta", "Ni", "Sb", "Sb"],
  "fractional_positions": [[0.000, 0.000, 0.000], [0.500, 0.500, 0.000], [0.500, 0.500, 0.500], [0.000, 0.500, 0.500], [0.500, 0.000, 0.500]]
}